Material: SrSiPb
Method: DFT, PBE
State: relaxed

Cell lengths 5.1734, 5.1734, 5.1734 Å; angles 60.00, 60.00, 60.00 degrees
With the nearest neighbours (Å) after each atom.
Sites, in units of the cell vectors:
Si: 0.2500 0.2500 0.2500  4 Sr 3.17, 4 Pb 3.17
Sr: 0.0000 0.0000 0.0000  4 Si 3.17
Pb: 0.5000 0.5000 0.5000  4 Si 3.17

Properties
Its total DFT energy (no corrections) is -3.67 eV/atom. Its energy above the most stable polymorph in this dataset is 265.1 meV/atom. The calculation puts the density of states at the Fermi level at 3.501 states/eV per cell. Its formation energy (no corrections) is -65 meV per atom.